Record 1
Compound: NaCrAu
Source: Alexandria via LeMat-Bulk
Functional: PBE-GGA
Structure: relaxed

Unit cell a=4.7364 b=4.7364 c=5.8292 alpha=90.00 beta=90.00 gamma=118.16
Fractional coordinates of all 6 atoms:
Na 0.1612 0.8388 0.7500
Na 0.8388 0.1612 0.2500
Cr 0.1793 0.8207 0.2500
Cr 0.8207 0.1793 0.7500
Au 0.5000 0.5000 0.0000
Au 0.5000 0.5000 0.5000

Summary:
SG: Cmcm (63)
V, Å³ per cell: 115.3
Crystal system: orthorhombic
Energy relative to the elements, eV/atom: 0.4647
Raw total energy, hartree per atom: -0.15711
Magnetic moment, μB per formula unit: 4.68
N(E_F), states/eV per atom: 0.432



Record 2
Compound: BaLiBi2
Source: Alexandria via LeMat-Bulk
Functional: PBE-GGA
Structure: relaxed

Unit cell a=4.2531 b=4.2531 c=7.3154 alpha=90.00 beta=90.00 gamma=90.00
Fractional coordinates of all 4 atoms:
Ba 0.0000 0.0000 0.0000
Li 0.0000 0.0000 0.5000
Bi 0.5000 0.5000 0.2948
Bi 0.5000 0.5000 0.7052

Summary:
SG: P4/mmm (123)
V, Å³ per cell: 132.3
Crystal system: tetragonal
Energy relative to the elements, eV/atom: -0.4889
Raw total energy, hartree per atom: -0.12453
Magnetic moment, μB per formula unit: 0.00
N(E_F), states/eV per atom: 0.472



Record 3
Compound: IrSe3
Source: Alexandria via LeMat-Bulk
Functional: PBE-GGA
Structure: relaxed

Unit cell a=8.0804 b=8.0804 c=3.4437 alpha=90.00 beta=90.00 gamma=120.09
Fractional coordinates of all 8 atoms:
Ir 0.1666 0.8334 0.7500
Ir 0.8334 0.1666 0.2500
Se 0.0906 0.2951 0.7500
Se 0.2951 0.0906 0.2500
Se 0.2949 0.7051 0.2500
Se 0.7051 0.2949 0.7500
Se 0.7049 0.9094 0.7500
Se 0.9094 0.7049 0.2500

Summary:
SG: Cmcm (63)
V, Å³ per cell: 194.6
Crystal system: orthorhombic
Raw total energy, hartree per atom: -0.17372
Energy relative to the elements, uncorrected, eV per atom: 0.102
Magnetic moment, μB per formula unit: 0.00
N(E_F), states/eV per atom: 0.725



Record 4
Compound: Mg2AsSe
Source: Alexandria via LeMat-Bulk
Functional: PBE-GGA
Structure: relaxed

Unit cell a=4.9083 b=4.9083 c=4.9083 alpha=60.00 beta=60.00 gamma=60.00
Fractional coordinates of all 4 atoms:
Mg 0.0000 0.0000 0.0000
Mg 0.2500 0.2500 0.2500
As 0.5000 0.5000 0.5000
Se 0.7500 0.7500 0.7500

Summary:
SG: F-43m (216)
V, Å³ per cell: 83.6
Crystal system: cubic
Raw total energy, hartree per atom: -0.10385
Energy relative to the elements, uncorrected, eV per atom: 0.005
Magnetic moment, μB per formula unit: 0.00
N(E_F), states/eV per atom: 0.542